1.
# PBE-GGA Co2WAu, optimized geometry
data_Co2WAu
_chemical_formula_sum 'Co2 W1 Au1'
_cell_length_a 2.7306
_cell_length_b 2.7306
_cell_length_c 7.3959
_cell_angle_alpha 90.00
_cell_angle_beta 90.00
_cell_angle_gamma 90.00
_space_group_name_H-M_alt 'P 4/m m m'
_space_group_IT_number 123
_space_group_name_Hall '-P 4 2'
loop_
_atom_site_label
_atom_site_fract_x
_atom_site_fract_y
_atom_site_fract_z
Co1 0.0000 0.0000 0.2340
W1 0.5000 0.5000 0.0000
Au1 0.5000 0.5000 0.5000
# M_tot	0.0	μB per cell
# formation energy from the elements	0.77	eV/f.u.
# E	-7.42	eV/atom
# density	15016	kg/m3

***

2.
# PBE-GGA CuIrCl, optimized geometry
data_CuIrCl
_chemical_formula_sum 'Cu2 Ir2 Cl2'
_cell_length_a 2.9039
_cell_length_b 2.9039
_cell_length_c 11.2381
_cell_angle_alpha 90.00
_cell_angle_beta 90.00
_cell_angle_gamma 90.00
_space_group_name_H-M_alt 'I 4 m m'
_space_group_IT_number 107
_space_group_name_Hall 'I 4 -2'
loop_
_atom_site_label
_atom_site_fract_x
_atom_site_fract_y
_atom_site_fract_z
Cu1 0.0000 0.0000 0.0000
Ir1 0.0000 0.0000 0.6406
Cl1 0.0000 0.0000 0.3088
# M_tot	2.4	μB per cell
# energy relative to the elements, uncorrected	0.666	eV per atom
# E	-4.27	eV/atom
# density	10206	kg/m3

***

Q: Look up the density of the first one.
A: 15016 kg/m3

***

Q: Among the records above, which one has the lowest E?
A: Co2WAu

***

Repeat the second record exactly.
# PBE-GGA CuIrCl, optimized geometry
data_CuIrCl
_chemical_formula_sum 'Cu2 Ir2 Cl2'
_cell_length_a 2.9039
_cell_length_b 2.9039
_cell_length_c 11.2381
_cell_angle_alpha 90.00
_cell_angle_beta 90.00
_cell_angle_gamma 90.00
_space_group_name_H-M_alt 'I 4 m m'
_space_group_IT_number 107
_space_group_name_Hall 'I 4 -2'
loop_
_atom_site_label
_atom_site_fract_x
_atom_site_fract_y
_atom_site_fract_z
Cu1 0.0000 0.0000 0.0000
Ir1 0.0000 0.0000 0.6406
Cl1 0.0000 0.0000 0.3088
# M_tot	2.4	μB per cell
# energy relative to the elements, uncorrected	0.666	eV per atom
# E	-4.27	eV/atom
# density	10206	kg/m3

***

Q: The highest M_tot belongs to which entry?
A: CuIrCl